DFT (PBE) results for an optimized crystal structure of Co2RhBr.

Values from the calculation:
* offset from the most stable computed form: 99 meV per atom
* raw formation energy: 0.524 eV per atom

Cell lengths 3.6549, 2.9731, 6.5143 Å; angles 76.48, 90.00, 90.00 degrees
Site moments in Bohr magnetons follow the coordinates.
Fractional coordinates of all 4 atoms:
Br 0.5000 0.1734 0.7742  0.06
Co 0.0000 0.0296 0.0548  1.99
Co 0.5000 0.9350 0.2669  2.03
Rh 0.0000 0.3620 0.4041  1.00